Entry from Alexandria: a relaxed structure of Cl (GGA-PBE).

Cell lengths 4.3308, 4.3342, 5.0002 Å; angles 109.19, 112.84, 92.86 degrees
Atoms (fractional coordinates):
Cl: 0.1027 0.0143 0.2220
Cl: 0.8973 0.9857 0.7780

Values from the calculation:
Space group: P-1
Uncorrected formation energy (eV/atom): 0.0240
DOS(E_F) (states/eV/atom): 0.000
Calculated volume (Å³/cell): 80.0

=====

Entry from Alexandria: a relaxed structure of Fe2TcSbC (GGA-PBE).

Cell lengths 3.8698, 3.8698, 4.1019 Å; angles 90.00, 90.00, 90.00 degrees
Atoms (fractional coordinates):
Fe: 0.0000 0.5000 0.0000
Fe: 0.5000 0.0000 0.0000
Tc: 0.0000 0.0000 0.5000
Sb: 0.5000 0.5000 0.5000
C: 0.0000 0.0000 0.0000

Values from the calculation:
Space group: P4/mmm
Uncorrected formation energy (eV/atom): 0.1611
DOS(E_F) (states/eV/atom): 0.381
Calculated volume (Å³/cell): 61.4

=====

Entry from Alexandria: a relaxed structure of HfBe2Zn2 (GGA-PBE).

Cell lengths 7.1435, 7.1435, 2.6161 Å; angles 90.00, 90.00, 90.00 degrees
Atoms (fractional coordinates):
Hf: 0.0000 0.0000 0.0000
Hf: 0.5000 0.5000 0.0000
Be: 0.1252 0.3748 0.0000
Be: 0.3748 0.8748 0.0000
Be: 0.6252 0.1252 0.0000
Be: 0.8748 0.6252 0.0000
Zn: 0.1670 0.6670 0.5000
Zn: 0.3330 0.1670 0.5000
Zn: 0.6670 0.8330 0.5000
Zn: 0.8330 0.3330 0.5000

Values from the calculation:
Formation energy from the elements (eV/atom): 0.08
Space group: P4/mbm
DOS(E_F) (states/eV/atom): 0.674
Calculated volume (Å³/cell): 133.5

=====

Entry from Alexandria: a relaxed structure of Ba6HPd2Br3 (GGA-PBE).

Cell lengths 7.7769, 7.7769, 8.8100 Å; angles 98.48, 98.48, 119.99 degrees
Atoms (fractional coordinates):
Ba: 0.0708 0.3983 0.2122
Ba: 0.2569 0.2569 0.7869
Ba: 0.3983 0.0708 0.2122
Ba: 0.6017 0.9292 0.7878
Ba: 0.7431 0.7431 0.2131
Ba: 0.9292 0.6017 0.7878
H: 0.0000 0.0000 0.0000
Pd: 0.3336 0.6664 0.0000
Pd: 0.6664 0.3336 0.0000
Br: 0.1694 0.8306 0.5000
Br: 0.5000 0.5000 0.5000
Br: 0.8306 0.1694 0.5000

Values from the calculation:
Space group: C2/m
DOS(E_F) (states/eV/atom): 0.685
Uncorrected energy (eV per atom): -3.5837
Calculated volume (Å³/cell): 441.0